# 1
This record from the Alexandria database describes a relaxed structure of Mn2TlPbO8. The functional is GGA+U.

Values from the calculation:
Mass density, g/cm3: 4.62
Total DFT energy (no corrections), eV per cell: -69.367
DOS(E_F), states/eV/atom: 0.371

```
data_Mn2TlPbO8
_cell_length_a 5.8663
_cell_length_b 5.8663
_cell_length_c 7.8397
_cell_angle_alpha 90.00
_cell_angle_beta 90.00
_cell_angle_gamma 120.00
_space_group_name_H-M_alt 'P -3 m 1'
_space_group_IT_number 164
_space_group_name_Hall '-P 3 2"'
loop_
_atom_site_label
_atom_site_fract_x
_atom_site_fract_y
_atom_site_fract_z
Mn1 0.3333 0.6667 0.3368
Tl1 0.0000 0.0000 0.0000
Pb1 0.0000 0.0000 0.5000
O1 0.1780 0.3560 0.2719
O2 0.3333 0.6667 0.5434
```


# 2
This record from the Alexandria database describes a relaxed structure of MnTlPb2O5. The functional is GGA+U.

Values from the calculation:
Mass density, g/cm3: 8.25
Total DFT energy (no corrections), eV per cell: -204.472
DOS(E_F), states/eV/atom: 0.085

```
data_MnTlPb2O5
_cell_length_a 3.512
_cell_length_b 12.465
_cell_length_c 13.859
_cell_angle_alpha 90.00
_cell_angle_beta 90.00
_cell_angle_gamma 90.00
_space_group_name_H-M_alt 'C m c 21'
_space_group_IT_number 36
_space_group_name_Hall 'C 2c -2'
loop_
_atom_site_label
_atom_site_fract_x
_atom_site_fract_y
_atom_site_fract_z
Mn1 0.000 0.235 0.000
Tl1 0.000 0.458 0.399
Pb1 0.000 0.073 0.613
Pb2 0.000 0.184 0.248
O1 0.000 0.078 0.995
O2 0.000 0.261 0.594
O3 0.000 0.277 0.394
O4 0.000 0.391 0.009
O5 0.000 0.439 0.776
```


# 3
This record from the Alexandria database describes a relaxed structure of MnTl2PbO6. The functional is GGA+U.

Values from the calculation:
Mass density, g/cm3: 8.91
Total DFT energy (no corrections), eV per cell: -164.042
DOS(E_F), states/eV/atom: 0.012

```
data_MnTl2PbO6
_cell_length_a 5.7075
_cell_length_b 5.7075
_cell_length_c 15.2035
_cell_angle_alpha 90.00
_cell_angle_beta 90.00
_cell_angle_gamma 120.00
_space_group_name_H-M_alt 'R 3'
_space_group_IT_number 146
_space_group_name_Hall 'R 3'
loop_
_atom_site_label
_atom_site_fract_x
_atom_site_fract_y
_atom_site_fract_z
Mn1 0.0000 0.0000 0.0000
Tl1 0.0000 0.0000 0.3043
Tl2 0.0000 0.0000 0.7862
Pb1 0.0000 0.0000 0.5220
O1 0.0111 0.2705 0.9169
O2 0.0227 0.6411 0.7345
```


# 4
This record from the Alexandria database describes a relaxed structure of Mn3TlPb2O8. The functional is GGA+U.

Values from the calculation:
Mass density, g/cm3: 7.33
Total DFT energy (no corrections), eV per cell: -266.527
DOS(E_F), states/eV/atom: 0.360

```
data_Mn3TlPb2O8
_cell_length_a 6.1179
_cell_length_b 6.1179
_cell_length_c 19.1053
_cell_angle_alpha 90.00
_cell_angle_beta 90.00
_cell_angle_gamma 120.00
_space_group_name_H-M_alt 'R 3 m'
_space_group_IT_number 160
_space_group_name_Hall 'R 3 -2"'
loop_
_atom_site_label
_atom_site_fract_x
_atom_site_fract_y
_atom_site_fract_z
Mn1 0.0006 0.5003 0.0000
Tl1 0.0000 0.0000 0.8739
Pb1 0.0000 0.0000 0.1133
Pb2 0.0000 0.0000 0.5136
O1 0.0000 0.0000 0.2806
O2 0.0000 0.0000 0.7192
O3 0.0366 0.5183 0.2770
O4 0.1821 0.3643 0.0548
```


# 5
This record from the Alexandria database describes a relaxed structure of TmMn2PbO6. The functional is GGA+U.

Values from the calculation:
Mass density, g/cm3: 8.03
Total DFT energy (no corrections), eV per cell: -215.410
DOS(E_F), states/eV/atom: 0.203

```
data_TmMn2PbO6
_cell_length_a 5.5220
_cell_length_b 5.5220
_cell_length_c 13.6766
_cell_angle_alpha 90.00
_cell_angle_beta 90.00
_cell_angle_gamma 120.00
_space_group_name_H-M_alt 'R 3'
_space_group_IT_number 146
_space_group_name_Hall 'R 3'
loop_
_atom_site_label
_atom_site_fract_x
_atom_site_fract_y
_atom_site_fract_z
Tm1 0.0000 0.0000 0.0000
Mn1 0.0000 0.0000 0.2235
Mn2 0.0000 0.0000 0.7191
Pb1 0.0000 0.0000 0.4822
O1 0.0686 0.7294 0.3002
O2 0.1075 0.3486 0.7949
```


# 6
This record from the Alexandria database describes a relaxed structure of UMnPbO6. The functional is GGA+U.

Values from the calculation:
Mass density, g/cm3: 7.81
Total DFT energy (no corrections), eV per cell: -140.766

```
data_UMnPbO6
_cell_length_a 5.023
_cell_length_b 5.023
_cell_length_c 10.046
_cell_angle_alpha 90.00
_cell_angle_beta 90.00
_cell_angle_gamma 90.00
_space_group_name_H-M_alt 'P 42 n m'
_space_group_IT_number 102
_space_group_name_Hall 'P 4n -2n'
loop_
_atom_site_label
_atom_site_fract_x
_atom_site_fract_y
_atom_site_fract_z
U1 0.000 0.000 0.000
Mn1 0.000 0.000 0.666
Pb1 0.000 0.000 0.334
O1 0.190 0.190 0.840
O2 0.195 0.195 0.159
O3 0.204 0.204 0.500
```


# 7
This record from the Alexandria database describes a relaxed structure of UMn2PbO8. The functional is GGA+U.

Values from the calculation:
Mass density, g/cm3: 7.37
Total DFT energy (no corrections), eV per cell: -183.206

```
data_UMn2PbO8
_cell_length_a 6.726
_cell_length_b 6.677
_cell_length_c 6.880
_cell_angle_alpha 90.00
_cell_angle_beta 94.82
_cell_angle_gamma 90.00
_space_group_name_H-M_alt 'C 1 2/m 1'
_space_group_IT_number 12
_space_group_name_Hall '-C 2y'
loop_
_atom_site_label
_atom_site_fract_x
_atom_site_fract_y
_atom_site_fract_z
U1 0.000 0.000 0.000
Mn1 0.002 0.500 0.743
Pb1 0.000 0.000 0.500
O1 0.002 0.207 0.237
O2 0.186 0.500 0.488
O3 0.198 0.500 0.975
```


# 8
This record from the Alexandria database describes a relaxed structure of MnVPbO5. The functional is GGA+U.

Values from the calculation:
Mass density, g/cm3: 5.21
DOS(E_F), states/eV/atom: 0.029
Energy relative to the lowest polymorph listed for this composition, meV/atom: 218

```
data_MnVPbO5
_cell_length_a 6.571
_cell_length_b 8.785
_cell_length_c 9.039
_cell_angle_alpha 90.00
_cell_angle_beta 106.30
_cell_angle_gamma 90.00
_space_group_name_H-M_alt 'C 1 2/c 1'
_space_group_IT_number 15
_space_group_name_Hall '-C 2yc'
loop_
_atom_site_label
_atom_site_fract_x
_atom_site_fract_y
_atom_site_fract_z
Mn1 0.000 0.167 0.250
V1 0.000 0.189 0.750
Pb1 0.000 0.500 0.000
O1 0.000 0.372 0.250
O2 0.103 0.067 0.900
O3 0.192 0.320 0.716
```


# 9
This record from the Alexandria database describes a relaxed structure of Mn2VPbO6. The functional is GGA+U.

Values from the calculation:
Mass density, g/cm3: 6.18
Total DFT energy (no corrections), eV per cell: -71.555

```
data_Mn2VPbO6
_cell_length_a 5.279
_cell_length_b 5.320
_cell_length_c 5.778
_cell_angle_alpha 115.87
_cell_angle_beta 90.87
_cell_angle_gamma 117.49
_space_group_name_H-M_alt 'P 1'
_space_group_IT_number 1
_space_group_name_Hall 'P 1'
loop_
_atom_site_label
_atom_site_fract_x
_atom_site_fract_y
_atom_site_fract_z
Mn1 0.000 0.000 0.000
Mn2 0.500 0.015 0.542
V1 0.295 0.599 0.929
Pb1 0.777 0.543 0.338
O1 0.151 0.873 0.206
O2 0.215 0.801 0.759
O3 0.325 0.508 0.213
O4 0.526 0.477 0.748
O5 0.692 0.014 0.186
O6 0.929 0.191 0.781
```


# 10
This record from the Alexandria database describes a relaxed structure of MnV2Pb2O8. The functional is GGA+U.

Values from the calculation:
Mass density, g/cm3: 5.54
DOS(E_F), states/eV/atom: 0.000
Energy relative to the lowest polymorph listed for this composition, meV/atom: 30

```
data_MnV2Pb2O8
_cell_length_a 7.483
_cell_length_b 6.631
_cell_length_c 9.155
_cell_angle_alpha 90.00
_cell_angle_beta 112.66
_cell_angle_gamma 90.00
_space_group_name_H-M_alt 'P 1 21/m 1'
_space_group_IT_number 11
_space_group_name_Hall '-P 2yb'
loop_
_atom_site_label
_atom_site_fract_x
_atom_site_fract_y
_atom_site_fract_z
Mn1 0.000 0.000 0.000
V1 0.048 0.250 0.334
V2 0.447 0.250 0.150
Pb1 0.265 0.250 0.738
Pb2 0.350 0.750 0.479
O1 0.010 0.527 0.781
O2 0.068 0.750 0.536
O3 0.188 0.250 0.046
O4 0.291 0.250 0.460
O5 0.455 0.750 0.988
O6 0.474 0.543 0.719
```


# 11
This record from the Alexandria database describes a relaxed structure of Mn2V2PbO10. The functional is GGA+U.

Values from the calculation:
Mass density, g/cm3: 4.63
Total DFT energy (no corrections), eV per cell: -210.734
DOS(E_F), states/eV/atom: 0.292

```
data_Mn2V2PbO10
_cell_length_a 9.439
_cell_length_b 5.942
_cell_length_c 8.171
_cell_angle_alpha 90.00
_cell_angle_beta 114.92
_cell_angle_gamma 90.00
_space_group_name_H-M_alt 'C 1 2/m 1'
_space_group_IT_number 12
_space_group_name_Hall '-C 2y'
loop_
_atom_site_label
_atom_site_fract_x
_atom_site_fract_y
_atom_site_fract_z
Mn1 0.250 0.250 0.000
V1 0.067 0.000 0.253
Pb1 0.000 0.500 0.500
O1 0.051 0.239 0.771
O2 0.165 0.000 0.100
O3 0.177 0.500 0.081
O4 0.210 0.000 0.461
```


# 12
This record from the Alexandria database describes a relaxed structure of MnVPbO5. The functional is GGA+U.

Values from the calculation:
Mass density, g/cm3: 5.79
Energy relative to the lowest polymorph listed for this composition, meV/atom: 0

```
data_MnVPbO5
_cell_length_a 7.852
_cell_length_b 5.943
_cell_length_c 9.660
_cell_angle_alpha 90.00
_cell_angle_beta 90.00
_cell_angle_gamma 90.00
_space_group_name_H-M_alt 'P n m a'
_space_group_IT_number 62
_space_group_name_Hall '-P 2ac 2n'
loop_
_atom_site_label
_atom_site_fract_x
_atom_site_fract_y
_atom_site_fract_z
Mn1 0.000 0.000 0.000
V1 0.176 0.250 0.293
Pb1 0.080 0.250 0.673
O1 0.000 0.250 0.393
O2 0.116 0.250 0.919
O3 0.145 0.750 0.911
O4 0.165 0.005 0.191
```